(1)
KH5, relaxed, DFT PBE; offset from the most stable computed form = 0.0 meV per atom; symmetry = Cm, No. 8
1.0
7.171 0.000 0.000
0.000 4.979 0.000
-3.059 0.000 3.660
K H
2 10
direct
0.000 0.000 0.000
0.500 0.500 0.000
0.011 0.500 0.554
0.037 0.500 0.421
0.197 0.000 0.689
0.218 0.500 0.215
0.337 0.000 0.821
0.511 0.000 0.554
0.537 0.000 0.421
0.697 0.500 0.689
0.718 0.000 0.215
0.837 0.500 0.821



(2)
Ac2DyGaPd6, relaxed, DFT PBE; energy relative to the elements = -0.635 eV per atom; symmetry = R-3m, No. 166
1.0
2.947 1.701 8.350
-2.947 1.701 8.350
0.000 -3.403 8.350
Ac Dy Ga Pd
2 1 1 6
direct
0.215 0.215 0.215
0.785 0.785 0.785
0.000 0.000 0.000
0.500 0.500 0.500
0.238 0.743 0.743
0.257 0.257 0.762
0.257 0.762 0.257
0.743 0.238 0.743
0.743 0.743 0.238
0.762 0.257 0.257



(3)
Mn3FeW2, relaxed, DFT PBE; energy relative to the elements = -0.048 eV per atom; symmetry = R-3m, No. 166
1.0
2.348 1.355 3.899
-2.348 1.355 3.899
0.000 -2.711 3.899
Mn Fe W
3 1 2
direct
0.000 0.500 0.500
0.500 0.000 0.500
0.500 0.500 0.000
0.500 0.500 0.500
0.125 0.125 0.125
0.875 0.875 0.875



(4)
Th2UTc6Mo, relaxed, DFT PBE; energy relative to the elements = 0.370 eV per atom; symmetry = R-3, No. 148
1.0
3.438 1.985 5.200
-3.438 1.985 5.200
0.000 -3.970 5.200
Th U Tc Mo
2 1 6 1
direct
0.212 0.212 0.212
0.788 0.788 0.788
0.500 0.500 0.500
0.242 0.649 0.245
0.245 0.242 0.649
0.351 0.755 0.758
0.649 0.245 0.242
0.755 0.758 0.351
0.758 0.351 0.755
0.000 0.000 0.000